# 1
# TbPr2AgS5, optimized geometry, DFT GGA-PBE
# Crystal system = orthorhombic
data_TbPr2AgS5
_chemical_formula_sum 'Tb4 Pr8 Ag4 S20'
_cell_length_a 4.021
_cell_length_b 16.759
_cell_length_c 12.162
_cell_angle_alpha 90.00
_cell_angle_beta 90.00
_cell_angle_gamma 90.00
_symmetry_space_group_name_H-M 'C m c 21'
_symmetry_Int_Tables_number 36
loop_
_symmetry_equiv_pos_as_xyz
'x,y,z'
'-x,-y,z+1/2'
'-x,y,z'
'x,-y,z+1/2'
'x+1/2,y+1/2,z'
'-x+1/2,-y+1/2,z+1/2'
'-x+1/2,y+1/2,z'
'x+1/2,-y+1/2,z+1/2'
loop_
_atom_site_label
_atom_site_fract_x
_atom_site_fract_y
_atom_site_fract_z
Tb1 0.000 0.195 0.000
Pr1 0.000 0.111 0.680
Pr2 0.000 0.125 0.299
Ag1 0.000 0.464 0.462
S1 0.000 0.047 0.077
S2 0.000 0.288 0.657
S3 0.000 0.306 0.341
S4 0.000 0.358 0.995
S5 0.000 0.499 0.768

---

# 2
# Pr2TlAgS4, optimized geometry, DFT GGA-PBE
# Crystal system = orthorhombic
data_Pr2TlAgS4
_chemical_formula_sum 'Pr8 Tl4 Ag4 S16'
_cell_length_a 4.187
_cell_length_b 13.916
_cell_length_c 14.641
_cell_angle_alpha 90.00
_cell_angle_beta 90.00
_cell_angle_gamma 90.00
_symmetry_space_group_name_H-M 'C m c m'
_symmetry_Int_Tables_number 63
_symmetry_space_group_name_Hall '-C 2c 2'
loop_
_atom_site_label
_atom_site_fract_x
_atom_site_fract_y
_atom_site_fract_z
Pr1 0.000 0.132 0.065
Tl1 0.000 0.388 0.250
Ag1 0.000 0.335 0.750
S1 0.000 0.058 0.250
S2 0.000 0.235 0.605
S3 0.000 0.500 0.000

---

Number 1: formation energy from raw total energies -1.691 eV per atom. Number 2: formation energy from raw total energies -1.368 eV per atom.